CuAgCl2 | PBEsol | optimized geometry

Structure (POSCAR):
```
CuAgCl2
1.0
3.6760 0.0000 0.0000
0.0000 4.0646 0.1125
0.0000 -0.2304 5.5800
Ag Cu Cl
1 1 2
Cartesian
1.8380 1.5795 4.7741
0.0000 2.4525 2.9301
0.0000 3.7174 4.7233
1.8380 1.8363 1.8039
```

- Crystal system: monoclinic
- Space-group type: No. 6
- ρ: 4.8 Mg/m³
- Total magnetic moment: 0.0 Bohr magnetons per cell
- E_form (uncorrected): -0.3594 eV per atom